*one*
Crystalline Tb2AgS at its relaxed geometry, computed with PBE.

Results
space-group type	R-3m, No. 166
V	24.1	Å³/atom

Lattice parameters (Å, degrees): 3.917 3.917 21.801 90.00 90.00 120.00
Positions (direct):
1 Tb 0.000 0.000 0.241
2 Tb 0.000 0.000 0.759
3 Tb 0.333 0.667 0.426
4 Tb 0.333 0.667 0.908
5 Tb 0.667 0.333 0.092
6 Tb 0.667 0.333 0.574
7 Ag 0.000 0.000 0.000
8 Ag 0.333 0.667 0.667
9 Ag 0.667 0.333 0.333
10 S 0.000 0.000 0.500
11 S 0.333 0.667 0.167
12 S 0.667 0.333 0.833

---

*two*
Crystalline Tb2AgS at its relaxed geometry, computed with PBE.

Results
space-group type	Cmcm, No. 63
V	23.5	Å³/atom

Lattice parameters (Å, degrees): 3.979 23.175 4.076 90.00 90.00 90.00
Positions (direct):
1 Tb 0.000 0.075 0.250
2 Tb 0.000 0.311 0.250
3 Tb 0.000 0.689 0.750
4 Tb 0.000 0.925 0.750
5 Tb 0.500 0.189 0.750
6 Tb 0.500 0.425 0.750
7 Tb 0.500 0.575 0.250
8 Tb 0.500 0.811 0.250
9 Ag 0.000 0.457 0.250
10 Ag 0.000 0.543 0.750
11 Ag 0.500 0.043 0.750
12 Ag 0.500 0.957 0.250
13 S 0.000 0.194 0.250
14 S 0.000 0.806 0.750
15 S 0.500 0.306 0.750
16 S 0.500 0.694 0.250

---

*three*
Crystalline Tb2AgS at its relaxed geometry, computed with PBE.

Results
space-group type	R3m, No. 160
V	24.1	Å³/atom

Lattice parameters (Å, degrees): 3.838 3.838 22.673 90.00 90.00 120.00
Positions (direct):
1 Tb 0.000 0.000 0.000
2 Tb 0.000 0.000 0.187
3 Tb 0.333 0.667 0.667
4 Tb 0.333 0.667 0.854
5 Tb 0.667 0.333 0.333
6 Tb 0.667 0.333 0.520
7 Ag 0.000 0.000 0.426
8 Ag 0.333 0.667 0.093
9 Ag 0.667 0.333 0.760
10 S 0.000 0.000 0.595
11 S 0.333 0.667 0.262
12 S 0.667 0.333 0.928

---

Q: Which of them is the most stable? A: *two*.

---

*one*
Crystalline TcAgS2 at its relaxed geometry, computed with PBE.

Results
space-group type	R-3m, No. 166
V	19.5	Å³/atom

Lattice parameters (Å, degrees): 3.435 3.435 22.881 90.00 90.00 120.00
Positions (direct):
1 Tc 0.000 0.000 0.000
2 Tc 0.333 0.667 0.667
3 Tc 0.667 0.333 0.333
4 Ag 0.000 0.000 0.500
5 Ag 0.333 0.667 0.167
6 Ag 0.667 0.333 0.833
7 S 0.000 0.000 0.394
8 S 0.000 0.000 0.606
9 S 0.333 0.667 0.061
10 S 0.333 0.667 0.272
11 S 0.667 0.333 0.728
12 S 0.667 0.333 0.939

---

*two*
Crystalline TcAgS2 at its relaxed geometry, computed with PBE.

Results
space-group type	I-42d, No. 122
V	21.2	Å³/atom

Lattice parameters (Å, degrees): 5.563 5.563 10.962 90.00 90.00 90.00
Positions (direct):
1 Tc 0.000 0.000 0.000
2 Tc 0.000 0.500 0.250
3 Tc 0.500 0.000 0.750
4 Tc 0.500 0.500 0.500
5 Ag 0.000 0.000 0.500
6 Ag 0.000 0.500 0.750
7 Ag 0.500 0.000 0.250
8 Ag 0.500 0.500 0.000
9 S 0.204 0.250 0.125
10 S 0.250 0.704 0.375
11 S 0.250 0.796 0.875
12 S 0.296 0.250 0.625
13 S 0.704 0.750 0.625
14 S 0.750 0.204 0.875
15 S 0.750 0.296 0.375
16 S 0.796 0.750 0.125

---

*three*
Crystalline TcAgS2 at its relaxed geometry, computed with PBE.

Results
space-group type	Fm-3m, No. 225
V	15.0	Å³/atom

Lattice parameters (Å, degrees): 6.218 6.218 6.218 90.00 90.00 90.00
Positions (direct):
1 Tc 0.000 0.000 0.000
2 Tc 0.000 0.500 0.500
3 Tc 0.500 0.000 0.500
4 Tc 0.500 0.500 0.000
5 Ag 0.000 0.000 0.500
6 Ag 0.000 0.500 0.000
7 Ag 0.500 0.000 0.000
8 Ag 0.500 0.500 0.500
9 S 0.250 0.250 0.250
10 S 0.250 0.250 0.750
11 S 0.250 0.750 0.250
12 S 0.250 0.750 0.750
13 S 0.750 0.250 0.250
14 S 0.750 0.250 0.750
15 S 0.750 0.750 0.250
16 S 0.750 0.750 0.750

---

*four*
Crystalline TcAgS2 at its relaxed geometry, computed with PBE.

Results
space-group type	R-3m, No. 166
V	17.4	Å³/atom

Lattice parameters (Å, degrees): 3.076 3.076 25.482 90.00 90.00 120.00
Positions (direct):
1 Tc 0.000 0.000 0.000
2 Tc 0.333 0.667 0.667
3 Tc 0.667 0.333 0.333
4 Ag 0.000 0.000 0.500
5 Ag 0.333 0.667 0.167
6 Ag 0.667 0.333 0.833
7 S 0.000 0.000 0.087
8 S 0.000 0.000 0.913
9 S 0.333 0.667 0.580
10 S 0.333 0.667 0.754
11 S 0.667 0.333 0.246
12 S 0.667 0.333 0.420

---

Q: Which of them is the most stable? A: *one*.

---

*one*
Crystalline AgTe2S4 at its relaxed geometry, computed with PBE.

Results
space-group type	Pbam, No. 55
V	23.4	Å³/atom

Lattice parameters (Å, degrees): 7.318 11.397 3.928 90.00 90.00 90.00
Positions (direct):
1 Ag 0.000 0.000 0.000
2 Ag 0.500 0.500 0.000
3 Te 0.068 0.339 0.500
4 Te 0.432 0.839 0.500
5 Te 0.568 0.161 0.500
6 Te 0.932 0.661 0.500
7 S 0.133 0.799 0.000
8 S 0.218 0.542 0.500
9 S 0.282 0.042 0.500
10 S 0.367 0.299 0.000
11 S 0.633 0.701 0.000
12 S 0.718 0.958 0.500
13 S 0.782 0.458 0.500
14 S 0.867 0.201 0.000

---

*two*
Crystalline AgTe2S4 at its relaxed geometry, computed with PBE.

Results
space-group type	C2/m, No. 12
V	27.3	Å³/atom

Lattice parameters (Å, degrees): 8.032 8.032 7.592 109.24 109.24 57.43
Positions (direct):
1 Ag 0.060 0.060 0.215
2 Ag 0.940 0.940 0.785
3 Te 0.000 0.500 0.000
4 Te 0.500 0.000 0.000
5 Te 0.500 0.500 0.000
6 Te 0.500 0.500 0.500
7 S 0.220 0.696 0.223
8 S 0.235 0.235 0.228
9 S 0.294 0.294 0.790
10 S 0.304 0.780 0.777
11 S 0.696 0.220 0.223
12 S 0.706 0.706 0.210
13 S 0.765 0.765 0.772
14 S 0.780 0.304 0.777

---

Q: Which of them is the most stable? A: *two*.

---

*one*
Crystalline Ag4TeS4 at its relaxed geometry, computed with PBE.

Results
space-group type	Cmcm, No. 63
V	23.4	Å³/atom

Lattice parameters (Å, degrees): 6.751 6.751 9.255 90.00 90.00 85.35
Positions (direct):
1 Ag 0.054 0.656 0.750
2 Ag 0.318 0.318 0.000
3 Ag 0.318 0.318 0.500
4 Ag 0.344 0.946 0.750
5 Ag 0.656 0.054 0.250
6 Ag 0.682 0.682 0.000
7 Ag 0.682 0.682 0.500
8 Ag 0.946 0.344 0.250
9 Te 0.222 0.778 0.250
10 Te 0.778 0.222 0.750
11 S 0.141 0.272 0.750
12 S 0.272 0.141 0.250
13 S 0.287 0.713 0.523
14 S 0.287 0.713 0.977
15 S 0.713 0.287 0.023
16 S 0.713 0.287 0.477
17 S 0.728 0.859 0.750
18 S 0.859 0.728 0.250

---

*two*
Crystalline Ag4TeS4 at its relaxed geometry, computed with PBE.

Results
space-group type	I4/m, No. 87
V	24.4	Å³/atom

Lattice parameters (Å, degrees): 7.716 7.716 7.716 93.74 93.74 150.42
Positions (direct):
1 Ag 0.158 0.340 0.498
2 Ag 0.340 0.842 0.182
3 Ag 0.660 0.158 0.818
4 Ag 0.842 0.660 0.502
5 Te 0.500 0.500 0.000
6 S 0.255 0.551 0.807
7 S 0.449 0.255 0.704
8 S 0.551 0.745 0.296
9 S 0.745 0.449 0.193

---

Q: Which of them is the most stable? A: *two*.

---

*one*
Crystalline Ag2Te2S at its relaxed geometry, computed with PBE.

Results
space-group type	P-1, No. 2
V	27.8	Å³/atom

Lattice parameters (Å, degrees): 4.345 7.300 9.037 90.95 103.77 90.10
Positions (direct):
1 Ag 0.072 0.115 0.137
2 Ag 0.336 0.320 0.674
3 Ag 0.664 0.680 0.326
4 Ag 0.928 0.885 0.863
5 Te 0.054 0.648 0.105
6 Te 0.273 0.695 0.545
7 Te 0.727 0.305 0.455
8 Te 0.946 0.352 0.895
9 S 0.362 0.953 0.728
10 S 0.638 0.047 0.272

---

*two*
Crystalline Ag2Te2S at its relaxed geometry, computed with PBE.

Results
space-group type	P4/mbm, No. 127
V	24.2	Å³/atom

Lattice parameters (Å, degrees): 7.704 7.704 4.085 90.00 90.00 90.00
Positions (direct):
1 Ag 0.126 0.374 0.000
2 Ag 0.374 0.874 0.000
3 Ag 0.626 0.126 0.000
4 Ag 0.874 0.626 0.000
5 Te 0.191 0.691 0.500
6 Te 0.309 0.191 0.500
7 Te 0.691 0.809 0.500
8 Te 0.809 0.309 0.500
9 S 0.000 0.000 0.500
10 S 0.500 0.500 0.500

---

Q: Which of them is the most stable? A: *one*.

---

*one*
Crystalline Ag6TeS2 at its relaxed geometry, computed with PBE.

Results
space-group type	C2/c, No. 15
V	22.3	Å³/atom

Lattice parameters (Å, degrees): 8.362 8.362 9.159 120.93 120.93 49.55
Positions (direct):
1 Ag 0.008 0.264 0.580
2 Ag 0.147 0.675 0.801
3 Ag 0.264 0.008 0.080
4 Ag 0.325 0.853 0.699
5 Ag 0.352 0.435 0.067
6 Ag 0.435 0.352 0.567
7 Ag 0.565 0.648 0.433
8 Ag 0.648 0.565 0.933
9 Ag 0.675 0.147 0.301
10 Ag 0.736 0.992 0.920
11 Ag 0.853 0.325 0.199
12 Ag 0.992 0.736 0.420
13 Te 0.074 0.926 0.250
14 Te 0.926 0.074 0.750
15 S 0.276 0.361 0.255
16 S 0.361 0.276 0.755
17 S 0.639 0.724 0.245
18 S 0.724 0.639 0.745

---

*two*
Crystalline Ag6TeS2 at its relaxed geometry, computed with PBE.

Results
space-group type	C2/m, No. 12
V	25.7	Å³/atom

Lattice parameters (Å, degrees): 6.986 6.986 8.771 114.40 114.40 36.89
Positions (direct):
1 Ag 0.049 0.049 0.335
2 Ag 0.296 0.296 0.429
3 Ag 0.358 0.358 0.827
4 Ag 0.642 0.642 0.173
5 Ag 0.704 0.704 0.571
6 Ag 0.951 0.951 0.665
7 Te 0.000 0.000 0.000
8 S 0.150 0.150 0.650
9 S 0.850 0.850 0.350

---

Q: Which of them is the most stable? A: *one*.

---

*one*
Crystalline Ag3TeS at its relaxed geometry, computed with PBE.

Results
space-group type	Pm-3m, No. 221
V	29.4	Å³/atom

Lattice parameters (Å, degrees): 5.279 5.279 5.279 90.00 90.00 90.00
Positions (direct):
1 Ag 0.000 0.000 0.500
2 Ag 0.000 0.500 0.000
3 Ag 0.500 0.000 0.000
4 Te 0.000 0.000 0.000
5 S 0.500 0.500 0.500

---

*two*
Crystalline Ag3TeS at its relaxed geometry, computed with PBE.

Results
space-group type	P-1, No. 2
V	23.6	Å³/atom

Lattice parameters (Å, degrees): 5.931 6.894 7.166 62.18 70.01 68.44
Positions (direct):
1 Ag 0.069 0.243 0.129
2 Ag 0.124 0.179 0.598
3 Ag 0.382 0.862 0.969
4 Ag 0.618 0.138 0.031
5 Ag 0.876 0.821 0.402
6 Ag 0.931 0.757 0.871
7 Te 0.363 0.860 0.412
8 Te 0.637 0.140 0.588
9 S 0.128 0.586 0.187
10 S 0.872 0.414 0.813

---

Q: Which of them is the most stable? A: *two*.

---

*one*
Crystalline AgTeS4 at its relaxed geometry, computed with PBE.

Results
space-group type	P2_1/m, No. 11
V	25.4	Å³/atom

Lattice parameters (Å, degrees): 3.972 7.839 9.836 90.00 95.58 90.00
Positions (direct):
1 Ag 0.000 0.000 0.000
2 Ag 0.000 0.500 0.000
3 Te 0.443 0.250 0.716
4 Te 0.557 0.750 0.284
5 S 0.027 0.250 0.392
6 S 0.062 0.025 0.284
7 S 0.062 0.475 0.284
8 S 0.422 0.750 0.044
9 S 0.578 0.250 0.956
10 S 0.938 0.525 0.716
11 S 0.938 0.975 0.716
12 S 0.973 0.750 0.608

---

*two*
Crystalline AgTeS4 at its relaxed geometry, computed with PBE.

Results
space-group type	C2/m, No. 12
V	23.6	Å³/atom

Lattice parameters (Å, degrees): 11.264 3.716 7.052 90.00 106.72 90.00
Positions (direct):
1 Ag 0.000 0.000 0.000
2 Ag 0.500 0.500 0.000
3 Te 0.000 0.500 0.500
4 Te 0.500 0.000 0.500
5 S 0.103 0.500 0.894
6 S 0.166 0.000 0.495
7 S 0.334 0.500 0.505
8 S 0.397 0.000 0.106
9 S 0.603 0.000 0.894
10 S 0.666 0.500 0.495
11 S 0.834 0.000 0.505
12 S 0.897 0.500 0.106

---

Q: Which of them is the most stable? A: *one*.